Record 1
Tl2CuAg (PBE-GGA, optimized geometry); ΔE_f = 1.40 eV per formula unit; energy relative to the lowest polymorph listed for this composition = 0.179 eV/atom; calculated volume = 90.7 Å³/f.u.
1.0
-1.591 2.818 -3.867
-0.445 -2.039 -4.591
-4.572 -0.785 -1.978
Ag Cu Tl
1 1 2
Direct
0.500 0.500 0.500 Ag
0.750 0.750 0.750 Cu
0.000 0.000 0.000 Tl
0.250 0.250 0.250 Tl

Record 2
RbPaTiO6 (PBE-GGA, optimized geometry); formation energy without anion corrections = -2393 meV/atom; calculated volume = 142.4 Å³/f.u.
1.0
4.954 0.000 0.000
0.000 5.762 0.000
0.000 -2.881 4.990
Rb Pa Ti O
1 1 1 6
Direct
0.500 0.667 0.333 Rb
0.000 0.333 0.667 Pa
0.500 0.000 0.000 Ti
0.737 0.684 0.840 O
0.737 0.160 0.844 O
0.737 0.156 0.316 O
0.263 0.160 0.316 O
0.263 0.684 0.844 O
0.263 0.156 0.840 O

Record 3
CsTaSn3 (PBE-GGA, optimized geometry); ΔE_f = 0.18 eV per formula unit; energy relative to the lowest polymorph listed for this composition = 0.000 eV/atom; calculated volume = 165.9 Å³/f.u.
1.0
-4.604 -1.935 2.291
2.761 -4.373 1.856
1.170 2.706 4.637
Cs Sn Ta
1 3 1
Direct
0.500 0.500 0.500 Cs
0.000 0.500 0.000 Sn
0.000 0.000 0.500 Sn
0.500 0.000 0.000 Sn
0.000 0.000 0.000 Ta

Record 4
MgBeS2 (PBE-GGA, optimized geometry); formation energy without anion corrections = -1069 meV/atom; energy relative to the lowest polymorph listed for this composition = 0.110 eV/atom; calculated volume = 73.4 Å³/f.u.
1.0
3.699 0.000 0.000
0.000 3.499 0.000
-0.616 0.000 5.669
Be S Mg
1 2 1
Direct
0.724 0.500 0.567 Be
0.924 0.000 0.703 S
0.509 0.500 0.224 S
0.997 0.000 0.141 Mg

Record 5
Nd6Co2IrI3 (PBE-GGA, optimized geometry); formation energy without anion corrections = -701 meV/atom; calculated volume = 357.8 Å³/f.u.
1.0
7.133 -0.001 0.001
-3.566 6.177 0.001
-1.189 -2.059 8.121
Nd Co Ir I
6 2 1 3
Direct
0.939 0.597 0.817 Nd
0.719 0.719 0.182 Nd
0.061 0.403 0.183 Nd
0.597 0.939 0.817 Nd
0.281 0.281 0.818 Nd
0.403 0.061 0.183 Nd
0.333 0.667 0.000 Co
0.667 0.333 0.000 Co
0.000 0.000 0.000 Ir
0.166 0.834 0.500 I
0.834 0.166 0.500 I
0.500 0.500 0.500 I

Record 6
SrLi2Ti3S8 (PBE-GGA, optimized geometry); formation energy without anion corrections = -1335 meV/atom; calculated volume = 323.5 Å³/f.u.
1.0
7.139 0.000 0.000
3.569 6.182 0.000
3.569 2.061 7.329
Sr Li Ti S
1 2 3 8
Direct
0.859 0.859 0.422 Sr
0.012 0.012 0.965 Li
0.550 0.550 0.350 Li
0.500 0.026 0.974 Ti
0.026 0.500 0.974 Ti
0.500 0.500 0.974 Ti
0.275 0.275 0.174 S
0.731 0.731 0.808 S
0.245 0.245 0.791 S
0.719 0.245 0.791 S
0.245 0.719 0.791 S
0.770 0.290 0.169 S
0.290 0.770 0.169 S
0.770 0.770 0.169 S

Record 7
Li2OsCl (PBE-GGA, optimized geometry); formation energy without anion corrections = 445 meV/atom; energy relative to the lowest polymorph listed for this composition = 0.760 eV/atom; calculated volume = 65.0 Å³/f.u.
1.0
-0.649 0.818 -5.839
-4.864 0.280 -3.384
2.652 1.876 4.963
Cl Li Os
1 2 1
Direct
0.750 0.250 0.500 Cl
0.000 0.000 0.000 Li
0.250 0.750 0.500 Li
0.500 0.500 0.000 Os

Record 8
Y2Ga2Sn (PBE-GGA, optimized geometry); ΔE_f = -1.75 eV per formula unit; energy relative to the lowest polymorph listed for this composition = 0.333 eV/atom; calculated volume = 128.4 Å³/f.u.
1.0
-0.572 -8.148 -1.895
4.270 1.349 -7.089
3.135 -0.631 1.768
Y Sn Ga
4 2 4
Direct
0.315 0.815 0.000 Y
0.815 0.685 0.000 Y
0.685 0.185 0.000 Y
0.185 0.315 0.000 Y
0.000 0.000 0.000 Sn
0.500 0.500 0.000 Sn
0.114 0.614 0.500 Ga
0.614 0.886 0.500 Ga
0.886 0.386 0.500 Ga
0.386 0.114 0.500 Ga

Record 9
Pd3PtAu12 (PBE-GGA, optimized geometry); ΔE_f = -0.71 eV per formula unit; calculated volume = 276.9 Å³/f.u.
1.0
4.121 0.000 0.000
0.000 4.121 0.000
0.000 0.000 16.304
Pd Pt Au
3 1 12
Direct
0.000 0.000 0.250 Pd
0.000 0.000 0.500 Pd
0.000 0.000 0.750 Pd
0.000 0.000 0.000 Pt
0.500 0.500 0.000 Au
0.500 0.500 0.250 Au
0.500 0.500 0.500 Au
0.500 0.500 0.750 Au
0.500 0.000 0.125 Au
0.500 0.000 0.375 Au
0.500 0.000 0.625 Au
0.500 0.000 0.875 Au
0.000 0.500 0.125 Au
0.000 0.500 0.375 Au
0.000 0.500 0.625 Au
0.000 0.500 0.875 Au

Record 10
La2InGe (PBE-GGA, optimized geometry); ΔE_f = -2.67 eV per formula unit; calculated volume = 120.3 Å³/f.u.
1.0
4.319 0.000 0.000
0.000 6.372 -0.134
0.000 -3.355 8.815
La In Ge
4 2 2
Direct
0.750 0.215 0.438 La
0.250 0.785 0.562 La
0.250 0.774 0.080 La
0.750 0.226 0.920 La
0.250 0.344 0.212 In
0.750 0.656 0.788 In
0.750 0.658 0.291 Ge
0.250 0.342 0.709 Ge

Record 11
HfCu3Pd6 (PBE-GGA, optimized geometry); ΔE_f = -3.64 eV per formula unit; energy relative to the lowest polymorph listed for this composition = 0.000 eV/atom; calculated volume = 149.5 Å³/f.u.
1.0
4.167 0.000 0.000
0.000 7.985 -0.786
0.000 -0.572 9.046
Hf Cu Pd
2 6 12
Direct
0.250 0.932 0.622 Hf
0.750 0.068 0.378 Hf
0.250 0.549 0.400 Cu
0.750 0.451 0.600 Cu
0.250 0.347 0.818 Cu
0.750 0.653 0.182 Cu
0.250 0.745 0.987 Cu
0.750 0.255 0.013 Cu
0.250 0.462 0.103 Pd
0.750 0.538 0.897 Pd
0.250 0.159 0.213 Pd
0.750 0.841 0.787 Pd
0.250 0.621 0.692 Pd
0.750 0.379 0.308 Pd
0.250 0.259 0.521 Pd
0.750 0.741 0.479 Pd
0.250 0.839 0.295 Pd
0.750 0.161 0.705 Pd
0.250 0.060 0.910 Pd
0.750 0.940 0.090 Pd

Record 12
NaCaAuS2 (PBE-GGA, optimized geometry); formation energy without anion corrections = -1181 meV/atom; energy relative to the lowest polymorph listed for this composition = 0.000 eV/atom; calculated volume = 132.6 Å³/f.u.
1.0
5.880 0.000 0.000
0.000 5.987 0.783
0.000 -0.990 7.403
Na Ca Au S
2 2 2 4
Direct
0.002 0.500 0.750 Na
0.998 0.500 0.250 Na
0.499 0.000 0.250 Ca
0.501 0.000 0.750 Ca
0.000 0.000 0.000 Au
0.000 0.000 0.500 Au
0.714 0.732 0.000 S
0.714 0.268 0.500 S
0.286 0.732 0.500 S
0.286 0.268 0.000 S